Here is a relaxed structure of AgHgAu from the Alexandria database. Energies are from GGA-PBE.

The space group is I4mm (No. 107) and the conventional cell measures 3.0027, 3.0027 and 12.9678 Å, with angles of 90.00, 90.00 and 90.00 degrees. The inequivalent atoms are Ag at (0.0000, 0.0000, 0.0000), Hg at (0.0000, 0.0000, 0.6701) and Au at (0.0000, 0.0000, 0.3442).

For the total energy, the calculation gives -2.09 eV/atom. The magnetic moment is 0.00 μB/f.u. As for the energy relative to the lowest polymorph listed for this composition: 15 meV/atom. The calculation puts the calculated formation energy at 15 kJ/mol of formula units.

---

Here is a relaxed structure of AgHgAu from the Alexandria database. Energies are from GGA-PBE.

The space group is P-1 (No. 2) and the conventional cell measures 4.2647, 5.3561 and 5.9736 Å, with angles of 69.95, 89.61 and 66.94 degrees. The inequivalent atoms are Ag at (0.0073, 0.4875, 0.2594), Hg at (0.3296, 0.8358, 0.9029) and Au at (0.3396, 0.8216, 0.4108).

For the total energy, the calculation gives -2.11 eV/atom. The magnetic moment is 0.00 μB/f.u. As for the energy relative to the lowest polymorph listed for this composition: 0 meV/atom. The calculation puts the calculated formation energy at 11 kJ/mol of formula units.